# BiPdBr5

A relaxed BiPdBr5 crystal (GGA-PBE, the Alexandria database).

Geometry as extended XYZ:
```
14
Lattice="5.3953 -5.2375 0.0000 5.3953 5.2375 0.0000 -4.5357 0.0000 9.7078" Properties=species:S:1:pos:R:3 pbc="T T T"
Bi 1.9935 2.9937 7.2809
Bi 4.2614 -2.9937 2.4270
Pd 5.3953 0.0000 0.0000
Pd 3.1274 0.0000 4.8539
Br 0.6012 0.6266 3.8059
Br 0.2402 2.4189 9.5061
Br -1.6667 -0.6266 8.6598
Br 3.7468 2.4189 5.0556
Br 1.9935 0.0559 7.2809
Br 4.2614 -0.0559 2.4270
Br 2.5081 -2.4189 4.6522
Br 7.9215 0.6266 1.0480
Br 6.0147 -2.4189 0.2017
Br 5.6537 -0.6266 5.9019
```

Values from the calculation:
* symmetry: C2/c (15)
* crystal system: monoclinic
* uncorrected energy: -40.998 eV for the cell shown
* total magnetization: 0.00 μB per formula unit

# BaLaTm2

A relaxed BaLaTm2 crystal (GGA-PBE, the Alexandria database).

Geometry as extended XYZ:
```
12
Lattice="3.6226 0.0000 0.0000 -1.8113 3.1372 0.0000 0.0000 0.0000 38.7134" Properties=species:S:1:pos:R:3 pbc="T T T"
Ba 0.0000 0.0000 0.0000
Ba 0.0000 2.0915 25.8090
Ba 1.8113 1.0457 12.9045
La 0.0000 0.0000 19.3567
La 0.0000 2.0915 6.4523
La 1.8113 1.0457 32.2612
Tm 0.0000 0.0000 3.5901
Tm 0.0000 0.0000 35.1233
Tm 0.0000 2.0915 22.2189
Tm 0.0000 2.0915 29.3991
Tm 1.8113 1.0457 9.3144
Tm 1.8113 1.0457 16.4946
```

Values from the calculation:
* symmetry: R-3m (166)
* crystal system: trigonal
* uncorrected energy: -44.359 eV for the cell shown
* total magnetization: 0.03 μB per formula unit
* formation energy from the elements: 251.7 meV/atom
* distance to the lowest polymorph of the same formula: 74 meV per atom

# PaGaFe

A relaxed PaGaFe crystal (GGA-PBE, the Alexandria database).

Geometry as extended XYZ:
```
3
Lattice="4.3348 0.0000 0.0000 -2.1674 3.7540 0.0000 0.0000 0.0000 3.2614" Properties=species:S:1:pos:R:3 pbc="T T T"
Pa 0.0000 0.0000 0.0000
Ga 0.0000 2.5027 1.6307
Fe 2.1674 1.2513 1.6307
```

Values from the calculation:
* symmetry: P-6m2 (187)
* crystal system: hexagonal
* uncorrected energy: -21.629 eV for the cell shown
* total magnetization: 0.00 μB per formula unit
* formation energy from the elements: -214.5 meV/atom

# BeNi

A relaxed BeNi crystal (GGA-PBE, the Alexandria database).

Geometry as extended XYZ:
```
12
Lattice="8.2520 0.0000 0.0000 0.0000 2.6899 0.0000 -1.9006 0.0000 4.9679" Properties=species:S:1:pos:R:3 pbc="T T T"
Be 0.0000 0.0000 0.0000
Be -0.2840 1.3450 4.1642
Be 2.5094 0.0000 0.8038
Be 4.1260 1.3450 0.0000
Be 3.8420 0.0000 4.1642
Be 6.6355 1.3450 0.8038
Ni -0.9503 0.0000 2.4840
Ni 0.8473 1.3450 1.4614
Ni 1.3781 0.0000 3.5065
Ni 3.1757 1.3450 2.4840
Ni 4.9733 0.0000 1.4614
Ni 5.5041 1.3450 3.5065
```

Values from the calculation:
* symmetry: C2/m (12)
* crystal system: monoclinic
* uncorrected energy: -60.147 eV for the cell shown
* total magnetization: 0.00 μB per formula unit
* formation energy from the elements: -258.5 meV/atom

# Au5I12Cl3

A relaxed Au5I12Cl3 crystal (GGA-PBE, the Alexandria database).

Geometry as extended XYZ:
```
80
Lattice="-9.2880 9.2880 9.2880 9.2880 -9.2880 9.2880 9.2880 9.2880 -9.2880" Properties=species:S:1:pos:R:3 pbc="T T T"
Au 0.0000 0.0000 0.0000
Au 4.6440 4.6440 -4.6440
Au 4.6440 -4.6440 4.6440
Au 9.2880 0.0000 0.0000
Au 13.9321 2.3220 0.0000
Au 9.2880 -4.6440 6.9660
Au 6.9660 9.2880 -4.6440
Au 6.9660 0.0000 4.6440
Au 4.6440 6.9660 0.0000
Au 9.2880 4.6440 2.3220
Au -4.6440 4.6440 4.6440
Au 0.0000 9.2880 0.0000
Au 0.0000 0.0000 9.2880
Au 4.6440 4.6440 4.6440
Au 0.0000 4.6440 6.9660
Au 4.6440 2.3220 9.2880
Au 2.3220 9.2880 4.6440
Au 2.3220 0.0000 13.9321
Au 0.0000 13.9321 2.3220
Au -4.6440 6.9660 9.2880
I 7.4629 -4.8975 4.9079
I 15.7572 0.2638 -0.2535
I 12.1069 0.2638 0.2535
I 11.1132 -4.3905 4.9079
I 4.9079 7.4629 -4.8975
I 9.0242 -0.2535 2.8188
I 13.6786 4.3802 -1.8252
I 9.5415 -6.4692 9.0242
I 9.0242 9.5415 -6.4692
I 4.9079 -1.8252 4.8975
I 4.8975 4.9079 -1.8252
I 9.0345 2.8188 0.2638
I 14.1856 4.3802 1.8252
I 9.0345 -2.8188 9.0242
I 9.0242 9.0345 -2.8188
I 4.9079 1.8252 4.3905
I 4.9079 11.1132 -4.3905
I 4.3905 4.9079 1.8252
I 9.5415 6.4692 0.2638
I 9.0242 0.2535 6.4692
I 2.8188 9.0242 -0.2535
I 11.1132 4.3905 4.3802
I 6.4692 9.0242 0.2535
I 7.4629 4.8975 4.3802
I 1.8252 4.3905 4.9079
I 2.8188 0.2638 9.0345
I -1.8252 4.8975 4.9079
I 6.4692 0.2638 9.5415
I 0.2638 9.0345 2.8188
I -0.2535 2.8188 9.0242
I 4.8975 4.3802 7.4629
I 4.3802 -1.8252 13.6786
I 4.3802 7.4629 4.8975
I 0.2638 0.2535 12.1069
I 0.2535 12.1069 0.2638
I -4.8975 4.9079 7.4629
I 0.2535 6.4692 9.0242
I 4.3905 4.3802 11.1132
I 4.3802 11.1132 4.3905
I 0.2638 -0.2535 15.7572
I -0.2535 15.7572 0.2638
I -4.3905 4.9079 11.1132
I 0.2638 9.5415 6.4692
I 4.3802 1.8252 14.1856
I -1.8252 13.6786 4.3802
I -2.8188 9.0242 9.0345
I -6.4692 9.0242 9.5415
I 1.8252 14.1856 4.3802
Cl 4.6440 2.3220 0.0000
Cl 9.2880 4.6440 -2.3220
Cl 2.3220 0.0000 4.6440
Cl 11.6101 0.0000 4.6440
Cl 0.0000 4.6440 2.3220
Cl 4.6440 -2.3220 9.2880
Cl 4.6440 11.6101 0.0000
Cl 9.2880 4.6440 6.9660
Cl -2.3220 9.2880 4.6440
Cl 6.9660 9.2880 4.6440
Cl 0.0000 4.6440 11.6101
Cl 4.6440 6.9660 9.2880
```

Values from the calculation:
* symmetry: Ia-3d (230)
* crystal system: cubic
* uncorrected energy: -148.577 eV for the cell shown
* total magnetization: 0.00 μB per formula unit

# Be2Se

A relaxed Be2Se crystal (GGA-PBE, the Alexandria database).

Geometry as extended XYZ:
```
6
Lattice="3.7975 0.0000 0.0000 1.8436 3.4171 0.0000 1.8560 1.0439 7.8093" Properties=species:S:1:pos:R:3 pbc="T T T"
Be 0.0000 0.0000 0.0000
Be 1.5765 1.9528 1.4658
Be 3.5194 2.2011 7.1609
Be 3.6953 2.3928 0.0024
Se 3.4732 0.9751 2.1629
Se 5.3564 2.2000 5.9387
```

Values from the calculation:
* symmetry: P1 (1)
* crystal system: triclinic
* uncorrected energy: -22.909 eV for the cell shown
* total magnetization: 0.00 μB per formula unit
* distance to the lowest polymorph of the same formula: 117 meV per atom

# YbMnCuP2

A relaxed YbMnCuP2 crystal (GGA-PBE, the Alexandria database).

Geometry as extended XYZ:
```
5
Lattice="3.8916 0.0000 0.0000 -1.9458 3.3702 0.0000 0.0000 0.0000 6.4942" Properties=species:S:1:pos:R:3 pbc="T T T"
Yb 0.0000 0.0000 0.0000
Mn 1.9458 1.1234 2.5040
Cu 0.0000 2.2468 4.1340
P 0.0000 2.2468 1.7843
P 1.9458 1.1234 4.7788
```

Values from the calculation:
* symmetry: P3m1 (156)
* crystal system: trigonal
* uncorrected energy: -29.081 eV for the cell shown
* total magnetization: 2.79 μB per formula unit
* formation energy from the elements: -694.0 meV/atom

# PmMg4Ga5

A relaxed PmMg4Ga5 crystal (GGA-PBE, the Alexandria database).

Geometry as extended XYZ:
```
10
Lattice="3.4576 0.0000 0.0000 0.0000 3.4576 0.0000 0.0000 0.0000 16.9886" Properties=species:S:1:pos:R:3 pbc="T T T"
Pm 0.0000 0.0000 0.0000
Mg 0.0000 0.0000 3.6015
Mg 0.0000 0.0000 6.8342
Mg 0.0000 0.0000 10.1544
Mg 0.0000 0.0000 13.3871
Ga 1.7288 1.7288 2.0228
Ga 1.7288 1.7288 5.2099
Ga 1.7288 1.7288 8.4943
Ga 1.7288 1.7288 11.7787
Ga 1.7288 1.7288 14.9658
```

Values from the calculation:
* symmetry: P4/mmm (123)
* crystal system: tetragonal
* uncorrected energy: -28.510 eV for the cell shown
* total magnetization: 0.00 μB per formula unit
* formation energy from the elements: -224.6 meV/atom

# V2Cd2Hg

A relaxed V2Cd2Hg crystal (GGA-PBE, the Alexandria database).

Geometry as extended XYZ:
```
10
Lattice="7.6786 0.0000 0.0000 0.0000 7.6786 0.0000 0.0000 0.0000 3.3316" Properties=species:S:1:pos:R:3 pbc="T T T"
V 0.6700 3.1693 0.0000
V 3.1693 7.0086 0.0000
V 4.5093 0.6700 0.0000
V 7.0086 4.5093 0.0000
Cd 1.5622 5.4015 1.6658
Cd 2.2771 1.5622 1.6658
Cd 5.4015 6.1164 1.6658
Cd 6.1164 2.2771 1.6658
Hg 0.0000 0.0000 0.0000
Hg 3.8393 3.8393 0.0000
```

Values from the calculation:
* symmetry: P4/mbm (127)
* crystal system: tetragonal
* uncorrected energy: -36.765 eV for the cell shown
* total magnetization: 0.00 μB per formula unit
* formation energy from the elements: 397.3 meV/atom
* distance to the lowest polymorph of the same formula: 0 meV per atom

# MgZnSe2

A relaxed MgZnSe2 crystal (GGA-PBE, the Alexandria database).

Geometry as extended XYZ:
```
16
Lattice="6.8137 0.0000 0.0000 0.0000 6.8137 0.0000 0.0000 0.0000 6.8137" Properties=species:S:1:pos:R:3 pbc="T T T"
Mg 0.0000 0.0000 0.0000
Mg 0.0000 3.4069 3.4069
Mg 3.4069 0.0000 3.4069
Mg 3.4069 3.4069 0.0000
Zn 0.0000 0.0000 3.4069
Zn 0.0000 3.4069 0.0000
Zn 3.4069 0.0000 0.0000
Zn 3.4069 3.4069 3.4069
Se 1.7034 1.7034 1.7034
Se 1.7034 1.7034 5.1103
Se 1.7034 5.1103 1.7034
Se 1.7034 5.1103 5.1103
Se 5.1103 1.7034 1.7034
Se 5.1103 1.7034 5.1103
Se 5.1103 5.1103 1.7034
Se 5.1103 5.1103 5.1103
```

Values from the calculation:
* symmetry: Fm-3m (225)
* crystal system: cubic
* uncorrected energy: -43.615 eV for the cell shown
* total magnetization: 0.00 μB per formula unit

# CsPrGeTe3

A relaxed CsPrGeTe3 crystal (GGA-PBE, the Alexandria database).

Geometry as extended XYZ:
```
12
Lattice="9.8903 0.0000 0.0000 0.0000 4.4319 0.0000 -4.6823 0.0000 11.6210" Properties=species:S:1:pos:R:3 pbc="T T T"
Cs 1.0407 1.1080 3.3158
Cs 4.1673 3.3239 8.3053
Pr -0.3644 3.3239 9.7763
Pr 5.5724 1.1080 1.8447
Ge -1.4537 1.1080 6.4623
Ge 6.6616 3.3239 5.1587
Te -2.5471 1.1080 8.9362
Te 0.4082 3.3239 6.6425
Te 3.3965 3.3239 1.1970
Te 1.8114 1.1080 10.4240
Te 4.7998 1.1080 4.9785
Te 7.7550 3.3239 2.6848
```

Values from the calculation:
* symmetry: P2_1/m (11)
* crystal system: monoclinic
* uncorrected energy: -50.881 eV for the cell shown
* total magnetization: 0.00 μB per formula unit

# RbScNb3

A relaxed RbScNb3 crystal (GGA-PBE, the Alexandria database).

Geometry as extended XYZ:
```
5
Lattice="5.0822 0.0000 0.0000 0.0000 5.0822 0.0000 0.0000 0.0000 5.0822" Properties=species:S:1:pos:R:3 pbc="T T T"
Rb 0.0000 0.0000 0.0000
Sc 2.5411 2.5411 2.5411
Nb 0.0000 2.5411 2.5411
Nb 2.5411 0.0000 2.5411
Nb 2.5411 2.5411 0.0000
```

Values from the calculation:
* symmetry: Pm-3m (221)
* crystal system: cubic
* uncorrected energy: -27.780 eV for the cell shown
* total magnetization: 0.00 μB per formula unit
* formation energy from the elements: 1945.7 meV/atom
* distance to the lowest polymorph of the same formula: 0 meV per atom